# Ac2Sb3Pd4Au

A relaxed Ac2Sb3Pd4Au crystal (PBE, Alexandria via LeMat-Bulk).

Theoretical density, g/cm3: 10.2
Raw formation energy, kJ/mol of formula units: -819

extended XYZ file:
```
10
Lattice="-0.823 -0.947 4.533 0.572 -4.590 -0.855 10.403 0.909 2.078" Properties=species:S:1:pos:R:3 pbc="T T T"
Ac 2.179 -0.247 2.784
Ac 8.099 -1.612 1.133
Sb 5.202 0.454 1.039
Sb 8.667 0.319 4.080
Sb 1.611 -2.179 -0.163
Pd -0.125 -2.769 1.839
Pd 0.000 0.000 0.000
Pd 6.116 0.097 3.570
Pd 4.161 -1.956 0.346
Au 5.076 -2.314 2.878
```


# Ac2NiPb2

A relaxed Ac2NiPb2 crystal (PBE, Alexandria via LeMat-Bulk).

Energy relative to the elements, eV per atom: -0.404
Theoretical density, g/cm3: 9.8

extended XYZ file:
```
10
Lattice="-1.898 2.027 3.638 -0.468 -4.225 4.989 9.245 3.871 5.545" Properties=species:S:1:pos:R:3 pbc="T T T"
Ac 1.853 1.799 5.723
Ac 6.334 4.066 9.676
Ac 5.026 -0.125 8.450
Ac 0.545 -2.392 4.497
Ni 5.349 3.132 6.804
Ni 1.530 -1.458 7.369
Pb 5.233 1.088 5.003
Pb 6.509 1.074 11.435
Pb 1.646 0.586 9.169
Pb 0.370 0.600 2.738
```


# SmZn4Pd

A relaxed SmZn4Pd crystal (PBE, Alexandria via LeMat-Bulk).

Energy relative to the elements, eV per atom: -0.363
Theoretical density, g/cm3: 8.4
Excess energy over the best structure of this formula in the dataset, meV per atom: 30

extended XYZ file:
```
6
Lattice="-4.391 1.271 2.608 -2.598 -3.675 2.727 0.009 0.130 5.261" Properties=species:S:1:pos:R:3 pbc="T T T"
Zn -4.375 -1.490 3.980
Zn -3.060 0.431 5.259
Zn -4.371 -1.424 6.635
Zn -2.155 -2.066 5.319
Pd 0.000 0.000 0.000
Sm -1.745 -0.569 2.649
```